Compound: Tb2CdOsO8
Source: Alexandria via LeMat-Bulk
Functional: PBE-GGA
Structure: relaxed

a = 4.942 Å, b = 4.938 Å, c = 7.108 Å
α = 90.01°, β = 90.01°, γ = 92.28°
Atoms (fractional coordinates):
O1 0.724 0.724 0.000
Tb1 0.500 0.500 0.744
O2 0.182 0.817 0.811
O3 0.276 0.276 0.000
Tb2 0.500 0.500 0.256
Cd1 0.000 0.000 0.500
O4 0.183 0.817 0.189
Os1 0.000 0.000 0.000
O5 0.818 0.183 0.189
O6 0.697 0.697 0.500
O7 0.817 0.183 0.811
O8 0.303 0.303 0.500

Results
* ΔE_f (raw): -1989 meV/atom
* volume: 14.4 Å³/atom
* ρ: 7.17 g cm⁻³
* VASP energy: -7.079 eV/atom